Record 1
Computed, not measured: a geometry-optimized NaLi2Bi2 structure at the PBEsol level of DFT.

CIF file:
```
data_NaLi2Bi2
_symmetry_space_group_name_H-M 'I 4/m m m'
_symmetry_Int_Tables_number 139
_symmetry_space_group_name_Hall '-I 4 2'
_cell_length_a 4.616
_cell_length_b 4.616
_cell_length_c 12.302
_cell_angle_alpha 90.00
_cell_angle_beta 90.00
_cell_angle_gamma 90.00
loop_
_atom_site_label
_atom_site_type_symbol
_atom_site_fract_x
_atom_site_fract_y
_atom_site_fract_z
Na1 Na 0.000 0.000 0.000
Li1 Li 0.000 0.500 0.250
Bi1 Bi 0.000 0.000 0.382
```

Energy of formation   -313.0 meV/atom


Record 2
Computed, not measured: a geometry-optimized Li2NbBi structure at the PBEsol level of DFT.

CIF file:
```
data_Li2NbBi
_symmetry_space_group_name_H-M 'I -4 2 d'
_symmetry_Int_Tables_number 122
_symmetry_space_group_name_Hall 'I -4 2bw'
_cell_length_a 7.458
_cell_length_b 7.458
_cell_length_c 5.543
_cell_angle_alpha 90.00
_cell_angle_beta 90.00
_cell_angle_gamma 90.00
loop_
_atom_site_label
_atom_site_type_symbol
_atom_site_fract_x
_atom_site_fract_y
_atom_site_fract_z
Li1 Li 0.241 0.250 0.125
Nb1 Nb 0.000 0.000 0.500
Bi1 Bi 0.000 0.000 0.000
```

Energy of formation   444.2 meV/atom


Record 3
Computed, not measured: a geometry-optimized LiNb3Bi structure at the PBEsol level of DFT.

CIF file:
```
data_LiNb3Bi
_symmetry_space_group_name_H-M 'P m -3 m'
_symmetry_Int_Tables_number 221
_symmetry_space_group_name_Hall '-P 4 2 3'
_cell_length_a 4.478
_cell_length_b 4.478
_cell_length_c 4.478
_cell_angle_alpha 90.00
_cell_angle_beta 90.00
_cell_angle_gamma 90.00
loop_
_atom_site_label
_atom_site_type_symbol
_atom_site_fract_x
_atom_site_fract_y
_atom_site_fract_z
Li1 Li 0.000 0.000 0.000
Nb1 Nb 0.000 0.000 0.500
Bi1 Bi 0.500 0.500 0.500
```

Energy of formation   897.8 meV/atom


Record 4
Computed, not measured: a geometry-optimized LiNbBi2 structure at the PBEsol level of DFT.

CIF file:
```
data_LiNbBi2
_symmetry_space_group_name_H-M 'F m -3 m'
_symmetry_Int_Tables_number 225
_symmetry_space_group_name_Hall '-F 4 2 3'
_cell_length_a 7.092
_cell_length_b 7.092
_cell_length_c 7.092
_cell_angle_alpha 90.00
_cell_angle_beta 90.00
_cell_angle_gamma 90.00
loop_
_atom_site_label
_atom_site_type_symbol
_atom_site_fract_x
_atom_site_fract_y
_atom_site_fract_z
Li1 Li 0.000 0.000 0.000
Nb1 Nb 0.000 0.000 0.500
Bi1 Bi 0.250 0.250 0.250
```

Energy of formation   115.2 meV/atom


Record 5
Computed, not measured: a geometry-optimized Li2NbBiS structure at the PBEsol level of DFT.

CIF file:
```
data_Li2NbBiS
_symmetry_space_group_name_H-M 'P 4/m m m'
_symmetry_Int_Tables_number 123
_symmetry_space_group_name_Hall '-P 4 2'
_cell_length_a 5.065
_cell_length_b 5.065
_cell_length_c 5.390
_cell_angle_alpha 90.00
_cell_angle_beta 90.00
_cell_angle_gamma 90.00
loop_
_atom_site_label
_atom_site_type_symbol
_atom_site_fract_x
_atom_site_fract_y
_atom_site_fract_z
Li1 Li 0.000 0.500 0.000
Nb1 Nb 0.000 0.000 0.000
Bi1 Bi 0.000 0.000 0.500
S1 S 0.500 0.500 0.500
```

Energy relative to the elements, uncorrected   1.03 eV/atom


Record 6
Computed, not measured: a geometry-optimized Li4Ni3BiO8 structure at the PBEsol level of DFT.

CIF file:
```
data_Li4Ni3BiO8
_symmetry_space_group_name_H-M 'C 1 2/c 1'
_symmetry_Int_Tables_number 15
_symmetry_space_group_name_Hall '-C 2yc'
_cell_length_a 10.230
_cell_length_b 6.019
_cell_length_c 10.359
_cell_angle_alpha 90.00
_cell_angle_beta 109.35
_cell_angle_gamma 90.00
loop_
_atom_site_label
_atom_site_type_symbol
_atom_site_fract_x
_atom_site_fract_y
_atom_site_fract_z
Li1 Li 0.244 0.012 0.238
Li2 Li 0.250 0.250 0.000
Li3 Li 0.250 0.250 0.500
Ni1 Ni 0.000 0.000 0.000
Ni2 Ni 0.000 0.249 0.250
Ni3 Ni 0.000 0.500 0.000
Bi1 Bi 0.000 0.254 0.750
O1 O 0.103 0.234 0.113
O2 O 0.116 0.003 0.382
O3 O 0.120 0.489 0.374
O4 O 0.125 0.254 0.622
```

Energy relative to the elements, uncorrected   -1.24 eV/atom


Record 7
Computed, not measured: a geometry-optimized Li4Ni5BiO12 structure at the PBEsol level of DFT.

CIF file:
```
data_Li4Ni5BiO12
_symmetry_space_group_name_H-M 'C 1 2/m 1'
_symmetry_Int_Tables_number 12
_symmetry_space_group_name_Hall '-C 2y'
_cell_length_a 5.079
_cell_length_b 8.807
_cell_length_c 9.751
_cell_angle_alpha 90.00
_cell_angle_beta 100.49
_cell_angle_gamma 90.00
loop_
_atom_site_label
_atom_site_type_symbol
_atom_site_fract_x
_atom_site_fract_y
_atom_site_fract_z
Li1 Li 0.084 0.168 0.264
Ni1 Ni 0.000 0.000 0.500
Ni2 Ni 0.000 0.166 0.000
Ni3 Ni 0.000 0.336 0.500
Bi1 Bi 0.000 0.500 0.000
O1 O 0.098 0.000 0.884
O2 O 0.146 0.319 0.886
O3 O 0.194 0.179 0.601
O4 O 0.212 0.500 0.595
```

Energy relative to the elements, uncorrected   -1.14 eV/atom


Record 8
Computed, not measured: a geometry-optimized Li2Ni2BiO6 structure at the PBEsol level of DFT.

CIF file:
```
data_Li2Ni2BiO6
_symmetry_space_group_name_H-M 'C 2 2 21'
_symmetry_Int_Tables_number 20
_symmetry_space_group_name_Hall 'C 2c 2'
_cell_length_a 5.309
_cell_length_b 9.118
_cell_length_c 9.935
_cell_angle_alpha 90.00
_cell_angle_beta 90.00
_cell_angle_gamma 90.00
loop_
_atom_site_label
_atom_site_type_symbol
_atom_site_fract_x
_atom_site_fract_y
_atom_site_fract_z
Li1 Li 0.095 0.000 0.000
Li2 Li 0.097 0.500 0.000
Ni1 Ni 0.000 0.081 0.250
Ni2 Ni 0.000 0.411 0.250
Bi1 Bi 0.000 0.256 0.750
O1 O 0.140 0.238 0.350
O2 O 0.158 0.066 0.644
O3 O 0.159 0.436 0.637
```

Energy relative to the elements, uncorrected   -1.14 eV/atom


Record 9
Computed, not measured: a geometry-optimized Li2NiBiO4 structure at the PBEsol level of DFT.

CIF file:
```
data_Li2NiBiO4
_symmetry_space_group_name_H-M 'I -4 m 2'
_symmetry_Int_Tables_number 119
_symmetry_space_group_name_Hall 'I -4 -2'
_cell_length_a 4.388
_cell_length_b 4.388
_cell_length_c 8.812
_cell_angle_alpha 90.00
_cell_angle_beta 90.00
_cell_angle_gamma 90.00
loop_
_atom_site_label
_atom_site_type_symbol
_atom_site_fract_x
_atom_site_fract_y
_atom_site_fract_z
Li1 Li 0.000 0.000 0.000
Li2 Li 0.000 0.500 0.250
Ni1 Ni 0.000 0.000 0.500
Bi1 Bi 0.000 0.500 0.750
O1 O 0.000 0.000 0.284
O2 O 0.000 0.500 0.008
```

Energy relative to the elements, uncorrected   -1.26 eV/atom


Record 10
Computed, not measured: a geometry-optimized Li4Ni3BiO8 structure at the PBEsol level of DFT.

CIF file:
```
data_Li4Ni3BiO8
_symmetry_space_group_name_H-M 'P 1 2/c 1'
_symmetry_Int_Tables_number 13
_symmetry_space_group_name_Hall '-P 2yc'
_cell_length_a 5.938
_cell_length_b 6.012
_cell_length_c 10.225
_cell_angle_alpha 90.00
_cell_angle_beta 124.73
_cell_angle_gamma 90.00
loop_
_atom_site_label
_atom_site_type_symbol
_atom_site_fract_x
_atom_site_fract_y
_atom_site_fract_z
Li1 Li 0.000 0.000 0.000
Li2 Li 0.000 0.500 0.000
Li3 Li 0.500 0.247 0.250
Li4 Li 0.500 0.250 0.750
Ni1 Ni 0.000 0.251 0.250
Ni2 Ni 0.500 0.000 0.000
Ni3 Ni 0.500 0.500 0.000
Bi1 Bi 0.000 0.248 0.750
O1 O 0.249 0.009 0.254
O2 O 0.256 0.247 0.002
O3 O 0.263 0.496 0.265
O4 O 0.272 0.264 0.490
```

Energy relative to the elements, uncorrected   -1.24 eV/atom


Record 11
Computed, not measured: a geometry-optimized Li4Ni3BiO8 structure at the PBEsol level of DFT.

CIF file:
```
data_Li4Ni3BiO8
_symmetry_space_group_name_H-M 'R -3 m'
_symmetry_Int_Tables_number 166
_symmetry_space_group_name_Hall '-R 3 2"'
_cell_length_a 5.9909
_cell_length_b 5.9909
_cell_length_c 14.4766
_cell_angle_alpha 90.00
_cell_angle_beta 90.00
_cell_angle_gamma 120.00
loop_
_atom_site_label
_atom_site_type_symbol
_atom_site_fract_x
_atom_site_fract_y
_atom_site_fract_z
Li1 Li 0.0000 0.0000 0.0000
Li2 Li 0.0000 0.5000 0.0000
Ni1 Ni 0.0000 0.5000 0.5000
Bi1 Bi 0.0000 0.0000 0.5000
O1 O 0.0000 0.0000 0.2343
O2 O 0.0090 0.5045 0.7528
```

Energy relative to the elements, uncorrected   -1.24 eV/atom


Record 12
Computed, not measured: a geometry-optimized Li5BiO5 structure at the PBEsol level of DFT.

CIF file:
```
data_Li5BiO5
_symmetry_space_group_name_H-M 'C 1 2/m 1'
_symmetry_Int_Tables_number 12
_symmetry_space_group_name_Hall '-C 2y'
_cell_length_a 9.826
_cell_length_b 4.225
_cell_length_c 5.953
_cell_angle_alpha 90.00
_cell_angle_beta 109.48
_cell_angle_gamma 90.00
loop_
_atom_site_label
_atom_site_type_symbol
_atom_site_fract_x
_atom_site_fract_y
_atom_site_fract_z
Li1 Li 0.000 0.000 0.000
Li2 Li 0.188 0.500 0.360
Li3 Li 0.209 0.500 0.842
Bi1 Bi 0.000 0.000 0.500
O1 O 0.000 0.500 0.500
O2 O 0.150 0.000 0.320
O3 O 0.166 0.000 0.829
```

Energy relative to the elements, uncorrected   -1.66 eV/atom